# Ac2ReMoN6

A relaxed Ac2ReMoN6 crystal (PBE, Alexandria via LeMat-Bulk).

a = 5.7154 Å, b = 5.7154 Å, c = 4.0443 Å
α = 90.00°, β = 90.00°, γ = 90.00°
Positions (direct):
Ac  0.0000  0.5000  0.0000
Ac  0.5000  0.0000  0.0000
Re  0.0000  0.0000  0.4736
Mo  0.5000  0.5000  0.5223
N  0.0000  0.0000  0.0026
N  0.2470  0.2470  0.5019
N  0.2470  0.7530  0.5019
N  0.5000  0.5000  0.0014
N  0.7530  0.2470  0.5019
N  0.7530  0.7530  0.5019

ΔE_f (raw) = -761 meV per atom
total energy = -8.91 eV per atom
SG = No. 99

***

# KGa3Tc

A relaxed KGa3Tc crystal (PBE, Alexandria via LeMat-Bulk).

a = 9.1193 Å, b = 9.1193 Å, c = 9.1193 Å
α = 144.18°, β = 144.18°, γ = 51.56°
Positions (direct):
K  0.1577  0.1577  0.0000
K  0.8423  0.8423  0.0000
Ga  0.0077  0.5077  0.5000
Ga  0.1373  0.3641  0.7732
Ga  0.4923  0.9923  0.5000
Ga  0.5909  0.3641  0.2268
Ga  0.6359  0.4091  0.7732
Ga  0.6359  0.8627  0.2268
Tc  0.5000  0.5000  0.0000
Tc  0.7500  0.2500  0.5000

polymorph energy (0 for the lowest one) = 0.348 eV per atom
total energy = -3.94 eV per atom
SG = No. 119

***

# Pt2NCl2

A relaxed Pt2NCl2 crystal (PBE, Alexandria via LeMat-Bulk).

a = 9.5572 Å, b = 9.5572 Å, c = 3.0270 Å
α = 90.00°, β = 90.00°, γ = 90.00°
Positions (direct):
Pt  0.0916  0.4084  0.0000
Pt  0.4084  0.9084  0.0000
Pt  0.5916  0.0916  0.0000
Pt  0.9084  0.5916  0.0000
N  0.0000  0.0000  0.5000
N  0.5000  0.5000  0.5000
Cl  0.2202  0.2798  0.5000
Cl  0.2798  0.7798  0.5000
Cl  0.7202  0.2202  0.5000
Cl  0.7798  0.7202  0.5000

polymorph energy (0 for the lowest one) = 0.000 eV per atom
ΔE_f (raw) = 1363 meV per atom
total energy = -3.46 eV per atom
SG = No. 127

***

# Ta2Ni2I

A relaxed Ta2Ni2I crystal (PBE, Alexandria via LeMat-Bulk).

a = 6.4677 Å, b = 6.4677 Å, c = 6.4677 Å
α = 144.05°, β = 144.05°, γ = 51.76°
Positions (direct):
Ta  0.2500  0.7500  0.5000
Ta  0.7500  0.2500  0.5000
Ni  0.1076  0.1076  0.0000
Ni  0.8924  0.8924  0.0000
I  0.5000  0.5000  0.0000

polymorph energy (0 for the lowest one) = 0.070 eV per atom
ΔE_f (raw) = 532 meV per atom
total energy = -6.83 eV per atom
SG = No. 139

***

# CsGeSe2

A relaxed CsGeSe2 crystal (PBE, Alexandria via LeMat-Bulk).

a = 4.5593 Å, b = 4.5593 Å, c = 8.1147 Å
α = 90.00°, β = 90.00°, γ = 120.00°
Positions (direct):
Cs  0.0000  0.0000  0.0000
Ge  0.3333  0.6667  0.4470
Se  0.3333  0.6667  0.7275
Se  0.6667  0.3333  0.3440

ΔE_f (raw) = -473 meV per atom
total energy = -3.58 eV per atom
SG = No. 156

***

# Li4TbPa3Se8

A relaxed Li4TbPa3Se8 crystal (PBE, Alexandria via LeMat-Bulk).

a = 8.1256 Å, b = 8.1256 Å, c = 8.1256 Å
α = 59.10°, β = 59.10°, γ = 59.10°
Positions (direct):
Li  0.0000  0.0000  0.0000
Li  0.0000  0.5000  0.5000
Li  0.5000  0.0000  0.5000
Li  0.5000  0.5000  0.0000
Tb  0.5000  0.5000  0.5000
Pa  0.0000  0.0000  0.5000
Pa  0.0000  0.5000  0.0000
Pa  0.5000  0.0000  0.0000
Se  0.2467  0.2467  0.7454
Se  0.2467  0.7454  0.2467
Se  0.2553  0.2553  0.2553
Se  0.2546  0.7533  0.7533
Se  0.7454  0.2467  0.2467
Se  0.7447  0.7447  0.7447
Se  0.7533  0.2546  0.7533
Se  0.7533  0.7533  0.2546

ΔE_f (raw) = -1364 meV per atom
total energy = -5.66 eV per atom
SG = No. 166

***

# Pm6Pr5Th

A relaxed Pm6Pr5Th crystal (PBE, Alexandria via LeMat-Bulk).

a = 6.3703 Å, b = 6.3703 Å, c = 12.1428 Å
α = 95.01°, β = 95.01°, γ = 119.95°
Positions (direct):
Pm  0.0822  0.4106  0.7472
Pm  0.2463  0.2463  0.2526
Pm  0.4106  0.0822  0.7472
Pm  0.5894  0.9178  0.2528
Pm  0.7537  0.7537  0.7474
Pm  0.9178  0.5894  0.2528
Pr  0.1667  0.8333  0.0000
Pr  0.3335  0.6665  0.5000
Pr  0.5000  0.5000  0.0000
Pr  0.6665  0.3335  0.5000
Pr  0.8333  0.1667  0.0000
Th  0.0000  0.0000  0.5000

total energy = -4.96 eV per atom
SG = No. 12

***

# MgFePb2

A relaxed MgFePb2 crystal (PBE, Alexandria via LeMat-Bulk).

a = 3.5969 Å, b = 3.5969 Å, c = 7.0725 Å
α = 90.00°, β = 90.00°, γ = 90.00°
Positions (direct):
Mg  0.0000  0.0000  0.0000
Fe  0.0000  0.0000  0.5000
Pb  0.5000  0.5000  0.2749
Pb  0.5000  0.5000  0.7251

total energy = -4.03 eV per atom
SG = No. 123